(1)
A plane-wave DFT calculation with PBE was carried out for a relaxed MgCdI3 crystal.

ΔE to the lowest computed polymorph (eV per atom): 0.1650

Unit cell a=5.7413 b=5.7413 c=5.7413 alpha=90.00 beta=90.00 gamma=90.00
With the nearest neighbours (Å) after each atom.
Fractional positions:
I (0.0000, 0.5000, 0.0000)  2 Mg 2.87
I (0.0000, 0.0000, 0.5000)  2 Mg 2.87
I (0.5000, 0.0000, 0.0000)  2 Mg 2.87
Mg (0.0000, 0.0000, 0.0000)  6 I 2.87
Cd (0.5000, 0.5000, 0.5000)  12 I 4.06

***

(2)
A plane-wave DFT calculation with PBE was carried out for a relaxed MgCdI crystal.

E (eV per atom): -1.590

Unit cell a=3.8819 b=3.8854 c=16.1768 alpha=90.00 beta=90.00 gamma=119.97
With the nearest neighbours (Å) after each atom.
Fractional positions:
Mg (0.5472, 0.0944, 0.0000)  6 I 2.93
Mg (0.3416, 0.6832, 0.5000)  6 Cd 3.09
Cd (0.6744, 0.3488, 0.3686)  3 Mg 3.09
Cd (0.6744, 0.3488, 0.6314)  3 Mg 3.09
I (0.2145, 0.4290, 0.8836)  3 Mg 2.93
I (0.2145, 0.4290, 0.1164)  3 Mg 2.93

***

(3)
A plane-wave DFT calculation with PBE was carried out for a relaxed MgCdI4 crystal.

E (eV per atom): -2.256

Unit cell a=4.2463 b=7.4091 c=8.0105 alpha=107.75 beta=90.00 gamma=90.00
With the nearest neighbours (Å) after each atom.
Fractional positions:
Mg (0.5000, 0.0000, 0.5000)  6 I 2.96
Cd (0.0000, 0.5000, 0.5000)  6 I 3.02-3.04
I (0.0000, 0.2326, 0.7216)  2 Mg 2.96, 1 Cd 3.04
I (0.0000, 0.7674, 0.2784)  2 Mg 2.96, 1 Cd 3.04
I (0.5000, 0.7482, 0.7249)  1 Mg 2.96, 2 Cd 3.02
I (0.5000, 0.2518, 0.2751)  1 Mg 2.96, 2 Cd 3.02

***

(4)
A plane-wave DFT calculation with PBE was carried out for a relaxed MgCdI3 crystal.

ΔE to the lowest computed polymorph (eV per atom): 0.0000

Unit cell a=4.3285 b=8.8373 c=11.8079 alpha=98.48 beta=90.00 gamma=104.18
With the nearest neighbours (Å) after each atom.
Fractional positions:
Mg (0.5752, 0.1504, 0.9655)  1 Mg 2.82, 4 I 3.12-3.14
Mg (0.4248, 0.8496, 0.0345)  1 Mg 2.82, 4 I 3.12-3.14
Cd (0.9163, 0.8325, 0.7131)  4 I 2.83-2.86
Cd (0.0837, 0.1675, 0.2869)  4 I 2.83-2.86
I (0.3694, 0.7388, 0.5635)  2 Cd 2.83
I (0.6306, 0.2612, 0.4365)  2 Cd 2.83
I (0.8205, 0.6410, 0.8910)  1 Cd 2.86, 2 Mg 3.14
I (0.1795, 0.3590, 0.1090)  1 Cd 2.86, 2 Mg 3.14
I (0.0829, 0.1657, 0.7777)  1 Cd 2.84, 2 Mg 3.12
I (0.9171, 0.8343, 0.2223)  1 Cd 2.84, 2 Mg 3.12

***

(5)
A plane-wave DFT calculation with PBE was carried out for a relaxed MgCd3I8 crystal.

E (eV per atom): -2.081

Unit cell a=8.5728 b=8.5799 c=9.1166 alpha=118.60 beta=90.00 gamma=119.97
With the nearest neighbours (Å) after each atom.
Fractional positions:
Mg (0.0000, 0.0000, 0.0000)  6 I 2.97
Cd (0.5000, 0.0000, 0.0000)  6 I 3.03
Cd (0.5000, 0.5000, 0.0000)  6 I 3.02-3.03
Cd (0.0000, 0.5000, 0.0000)  6 I 3.02-3.03
I (0.2558, 0.5117, 0.7717)  3 Cd 3.02-3.03
I (0.7442, 0.4883, 0.2283)  3 Cd 3.02-3.03
I (0.2497, 0.0102, 0.7747)  1 Mg 2.97, 2 Cd 3.03
I (0.7605, 0.0102, 0.7747)  1 Mg 2.97, 2 Cd 3.03
I (0.7607, 0.5214, 0.7748)  1 Mg 2.97, 2 Cd 3.03
I (0.2393, 0.4786, 0.2252)  1 Mg 2.97, 2 Cd 3.03
I (0.2395, 0.9898, 0.2253)  1 Mg 2.97, 2 Cd 3.03
I (0.7503, 0.9898, 0.2253)  1 Mg 2.97, 2 Cd 3.03

***

(6)
A plane-wave DFT calculation with PBE was carried out for a relaxed Mg3CdI crystal.

ΔE to the lowest computed polymorph (eV per atom): 0.0000

Unit cell a=5.4337 b=5.4337 c=5.4337 alpha=90.00 beta=90.00 gamma=90.00
With the nearest neighbours (Å) after each atom.
Fractional positions:
I (0.5000, 0.5000, 0.5000)  12 Mg 3.84
Mg (0.0000, 0.5000, 0.0000)  2 Cd 2.72
Mg (0.0000, 0.0000, 0.5000)  2 Cd 2.72
Mg (0.5000, 0.0000, 0.0000)  2 Cd 2.72
Cd (0.0000, 0.0000, 0.0000)  6 Mg 2.72

***

(7)
A plane-wave DFT calculation with PBE was carried out for a relaxed MgCd3I crystal.

ΔE to the lowest computed polymorph (eV per atom): 0.0000

Unit cell a=5.6058 b=5.6058 c=5.6058 alpha=90.00 beta=90.00 gamma=90.00
With the nearest neighbours (Å) after each atom.
Fractional positions:
I (0.5000, 0.5000, 0.5000)  12 Cd 3.96
Mg (0.0000, 0.0000, 0.0000)  6 Cd 2.80
Cd (0.0000, 0.5000, 0.0000)  2 Mg 2.80
Cd (0.0000, 0.0000, 0.5000)  2 Mg 2.80
Cd (0.5000, 0.0000, 0.0000)  2 Mg 2.80

***

(8)
A plane-wave DFT calculation with PBE was carried out for a relaxed MgCdMo2I crystal.

E (eV per atom): -3.255

Unit cell a=5.3781 b=5.9044 c=5.3781 alpha=90.00 beta=90.00 gamma=90.00
With the nearest neighbours (Å) after each atom.
Fractional positions:
I (0.0000, 0.5000, 0.0000)  2 Cd 2.95
Mo (0.0000, 0.0000, 0.5000)  2 Cd 2.69
Mo (0.5000, 0.0000, 0.0000)  2 Cd 2.69
Mg (0.5000, 0.5000, 0.5000)  4 I 3.80, 8 Mo 3.99
Cd (0.0000, 0.0000, 0.0000)  4 Mo 2.69, 2 I 2.95

***

Asked for magnetization across the records above, the calculation gives 0.00; 0.00; 0.00; 0.00; 0.00; 0.00; 0.00; 8.41 μB per formula unit in order.